[1]
Here is YHg2I8 after structural relaxation from Alexandria via LeMat-Bulk. Energies are from PBE-GGA.

Properties
SG ... No. 12
Uncorrected energy ... -2.37 eV/atom

Lattice parameters (Å, degrees): 7.342 8.856 8.856 91.30 97.69 97.69
Fractional coordinates of all 11 atoms:
Y  0.000  0.000  0.000
Hg  0.669  0.214  0.214
Hg  0.331  0.786  0.786
I  0.210  0.077  0.730
I  0.210  0.730  0.077
I  0.790  0.923  0.270
I  0.218  0.554  0.554
I  0.790  0.270  0.923
I  0.279  0.219  0.219
I  0.721  0.781  0.781
I  0.782  0.446  0.446

---

[2]
Here is NiSb2Pb after structural relaxation from Alexandria via LeMat-Bulk. Energies are from PBE-GGA.

Properties
SG ... No. 65
Uncorrected energy ... -4.38 eV/atom

Lattice parameters (Å, degrees): 3.242 3.242 9.135 90.00 90.00 92.96
Fractional coordinates of all 4 atoms:
Ni  0.500  0.500  0.250
Pb  0.500  0.500  0.750
Sb  0.000  0.000  0.071
Sb  0.000  0.000  0.429

---

[3]
Here is MgPbW after structural relaxation from Alexandria via LeMat-Bulk. Energies are from PBE-GGA.

Properties
SG ... No. 216
ΔE_f ... 1.1246 eV per atom

Lattice parameters (Å, degrees): 4.721 4.721 4.721 60.00 60.00 60.00
Fractional coordinates of all 3 atoms:
Mg  0.000  0.000  0.000
Pb  0.500  0.500  0.500
W  0.750  0.750  0.750

---

| no. | theoretical density (g/cm³) | M_tot (Bohr magnetons per cell) |
| --- | --- | --- |
| 1 | 4.42 | 0.93 |
| 2 | 8.82 | 0.00 |
| 3 | 9.27 | 2.25 |